Below is a relaxed structure of AlRu2W, with properties calculated at the PBE level.

Properties
calculated volume	14.68	Å³/atom
E_form	-0.187	eV per formula unit

abc: 3.003 4.616 8.471
angles: 90.00 90.00 90.00
Space group Cmmm (No. 65)
One atom of each set of equivalent atoms:
Al  0.000  0.000  0.000 (multiplicity 2)
Ru  0.000  0.500  0.241 (multiplicity 4)
W  0.000  0.000  0.500 (multiplicity 2)